Computed, not measured: an optimized crystal structure of Sm5Pu at the PBE level of DFT.

Cell lengths 5.0666, 15.1772, 5.1011 Å; angles 90.00, 90.00, 90.00 degrees
Closest atoms and distances in Å follow each position.
Element x y z (fractional)
Sm  0.0000  0.0000  0.0000  8 Sm 3.55-3.56, 4 Pu 3.59
Sm  0.0000  0.1637  0.5000  2 Pu 3.55, 10 Sm 3.56-3.66
Sm  0.0000  0.3364  0.0000  10 Sm 3.55-3.66, 2 Pu 3.56
Sm  0.0000  0.6636  0.0000  10 Sm 3.55-3.66, 2 Pu 3.56
Sm  0.0000  0.8363  0.5000  2 Pu 3.55, 10 Sm 3.56-3.66
Sm  0.5000  0.1636  0.0000  10 Sm 3.55-3.66, 2 Pu 3.56
Sm  0.5000  0.3363  0.5000  2 Pu 3.55, 10 Sm 3.56-3.66
Sm  0.5000  0.5000  0.0000  8 Sm 3.55-3.56, 4 Pu 3.59
Sm  0.5000  0.6637  0.5000  2 Pu 3.55, 10 Sm 3.56-3.66
Sm  0.5000  0.8364  0.0000  10 Sm 3.55-3.66, 2 Pu 3.56
Pu  0.0000  0.5000  0.5000  12 Sm 3.55-3.59
Pu  0.5000  0.0000  0.5000  12 Sm 3.55-3.59

Symmetry = Cmmm
Density of states at the Fermi level = 29.71 states/eV per cell
Energy = -6.235 eV per atom